No. 1
GGA-PBE AlCrCoHg2, relaxed; DOS at the Fermi energy = 3.8 states/eV per cell; calculated total energy = -16.40 eV/f.u.; ΔE_f = 0.934 eV per atom
1.0
5.0146 0.0000 0.0000
0.0000 4.4452 0.0000
0.0000 0.0000 5.0146
Cr Co Hg Al
1 1 2 1
Direct
0.5000 0.5000 0.5000
0.0000 0.5000 0.0000
0.0000 0.0000 0.5000
0.5000 0.0000 0.0000
0.0000 0.0000 0.0000

=====

No. 2
GGA-PBE K2AlCrCo, relaxed; DOS at the Fermi energy = 6.2 states/eV per cell; calculated total energy = -15.91 eV/f.u.; ΔE_f = 1.351 eV per atom
1.0
6.2461 0.0000 0.0000
0.0000 5.0498 0.0000
0.0000 0.0000 6.2461
Cr K Co Al
1 2 1 1
Direct
0.0000 0.0000 0.0000
0.0000 0.0000 0.5000
0.5000 0.0000 0.0000
0.5000 0.5000 0.5000
0.0000 0.5000 0.0000

=====

No. 3
GGA-PBE MgAl2CrCo, relaxed; DOS at the Fermi energy = 5.3 states/eV per cell; calculated total energy = -17.72 eV/f.u.; ΔE_f = 1.619 eV per atom
1.0
4.6644 0.0000 0.0000
0.0000 4.6644 0.0000
0.0000 0.0000 4.1651
Cr Mg Co Al
1 1 1 2
Direct
0.5000 0.5000 0.5000
0.0000 0.0000 0.0000
0.0000 0.0000 0.5000
0.0000 0.5000 0.0000
0.5000 0.0000 0.0000

=====

No. 4
GGA-PBE NaAlCrCo2, relaxed; DOS at the Fermi energy = 6.9 states/eV per cell; calculated total energy = -20.19 eV/f.u.; ΔE_f = 1.742 eV per atom
1.0
4.3570 0.0000 0.0000
0.0000 4.3570 0.0000
0.0000 0.0000 4.4986
Cr Co Al Na
1 2 1 1
Direct
0.0000 0.0000 0.5000
0.0000 0.5000 0.0000
0.5000 0.0000 0.0000
0.5000 0.5000 0.5000
0.0000 0.0000 0.0000

=====

No. 5
GGA-PBE NbAl2CrCo, relaxed; DOS at the Fermi energy = 6.4 states/eV per cell; calculated total energy = -26.43 eV/f.u.; ΔE_f = 1.572 eV per atom
1.0
4.8521 0.0000 0.0000
0.0000 4.3187 0.0000
0.0000 0.0000 4.8521
Cr Nb Co Al
1 1 1 2
Direct
0.5000 0.5000 0.5000
0.0000 0.0000 0.0000
0.0000 0.5000 0.0000
0.0000 0.0000 0.5000
0.5000 0.0000 0.0000

=====

No. 6
GGA-PBE TiAlCrCo2, relaxed; DOS at the Fermi energy = 7.5 states/eV per cell; calculated total energy = -29.34 eV/f.u.; ΔE_f = 1.226 eV per atom
1.0
4.1008 0.0000 0.0000
0.0000 4.6107 0.0000
0.0000 0.0000 4.1008
Cr Co Al Ti
1 2 1 1
Direct
0.5000 0.5000 0.5000
0.0000 0.0000 0.5000
0.5000 0.0000 0.0000
0.0000 0.0000 0.0000
0.0000 0.5000 0.0000